# 1
V3GeH2 | GGA-PBE | optimized geometry

Calculated values
- Size of the total moment: 0.0 μB/cell
- Total DFT energy (no corrections): -0.2418 hartree per atom

Lattice parameters (Å, degrees): 5.0523 2.6929 9.0860 90.00 93.19 90.00
Last column: nearest neighbours and their distance in Å.
Element x y z (fractional)
1 V 0.0465 0.2500 0.3684  2 H 1.79-1.87
2 V 0.2650 0.2500 0.9060  2 H 1.96
3 V 0.4227 0.2500 0.6356  5 H 1.80-1.89
4 V 0.5773 0.7500 0.3644  5 H 1.80-1.89
5 V 0.7350 0.7500 0.0940  2 H 1.96
6 V 0.9535 0.7500 0.6316  2 H 1.79-1.87
7 Ge 0.2422 0.7500 0.1489  7 V 2.52-2.64, 2 Ge 2.69
8 Ge 0.7578 0.2500 0.8511  7 V 2.52-2.64, 2 Ge 2.69
9 H 0.2687 0.7500 0.7486  5 V 1.87-1.96
10 H 0.3868 0.2500 0.4356  4 V 1.79-1.82
11 H 0.6132 0.7500 0.5644  4 V 1.79-1.82
12 H 0.7313 0.2500 0.2514  5 V 1.87-1.96

---

# 2
V3Ge2H2 | GGA-PBE | optimized geometry

Calculated values
- Size of the total moment: 0.0 μB/cell
- Total DFT energy (no corrections): -0.2345 hartree per atom

Lattice parameters (Å, degrees): 4.7788 4.7788 5.5365 92.75 92.75 39.19
Last column: nearest neighbours and their distance in Å.
Element x y z (fractional)
1 V 0.0000 0.0000 0.0000  2 H 1.76
2 V 0.2916 0.2916 0.2359  3 H 1.84-1.93
3 V 0.7084 0.7084 0.7641  3 H 1.84-1.93
4 Ge 0.4176 0.4176 0.6702  1 Ge 2.46, 6 V 2.51-2.64, 1 H 2.56
5 Ge 0.5824 0.5824 0.3298  1 Ge 2.46, 6 V 2.51-2.64, 1 H 2.56
6 H 0.1871 0.1871 0.9229  4 V 1.76-1.93
7 H 0.8129 0.8129 0.0771  4 V 1.76-1.93

---

# 3
V4Ge3H | GGA-PBE | optimized geometry

Calculated values
- Size of the total moment: 0.0 μB/cell
- Total DFT energy (no corrections): -0.2477 hartree per atom

Lattice parameters (Å, degrees): 9.0075 5.3341 4.5275 90.00 90.00 90.00
Last column: nearest neighbours and their distance in Å.
Element x y z (fractional)
1 V 0.0000 0.1064 0.0000  1 H 1.74
2 V 0.0000 0.8700 0.5038  1 H 2.00
3 V 0.2454 0.8821 0.9990  1 H 2.29, 1 V 2.51
4 V 0.2546 0.1179 0.4990  1 H 2.29, 1 V 2.51
5 V 0.5000 0.1300 0.0038  1 H 2.00
6 V 0.5000 0.8936 0.5000  1 H 1.74
7 V 0.7454 0.1179 0.4990  1 H 2.29, 1 V 2.51
8 V 0.7546 0.8821 0.9990  1 H 2.29, 1 V 2.51
9 Ge 0.0000 0.3709 0.5005  6 V 2.66-2.67, 2 Ge 2.72, 1 H 2.95
10 Ge 0.2388 0.3730 0.9989  6 V 2.58-2.72, 3 Ge 2.65-2.72
11 Ge 0.2612 0.6270 0.4989  6 V 2.58-2.72, 3 Ge 2.65-2.72
12 Ge 0.5000 0.6291 0.0005  6 V 2.66-2.67, 2 Ge 2.72, 1 H 2.95
13 Ge 0.7388 0.6270 0.4989  6 V 2.58-2.72, 3 Ge 2.65-2.72
14 Ge 0.7612 0.3730 0.9989  6 V 2.58-2.72, 3 Ge 2.65-2.72
15 H 0.0000 0.7841 0.9344  1 V 1.74
16 H 0.5000 0.2159 0.4344  1 V 1.74

---

# 4
V8Ge3H2 | GGA-PBE | optimized geometry

Calculated values
- Size of the total moment: 0.0 μB/cell
- Total DFT energy (no corrections): -0.2724 hartree per atom

Lattice parameters (Å, degrees): 7.7613 7.7613 7.7613 38.15 38.15 38.15
Last column: nearest neighbours and their distance in Å.
Element x y z (fractional)
1 V 0.1880 0.1880 0.1880  1 H 1.71
2 V 0.2303 0.2303 0.7318  1 H 1.75
3 V 0.2303 0.7318 0.2303  1 H 1.75
4 V 0.2682 0.7697 0.7697  1 H 1.75
5 V 0.7318 0.2303 0.2303  1 H 1.75
6 V 0.7697 0.2682 0.7697  1 H 1.75
7 V 0.7697 0.7697 0.2682  1 H 1.75
8 V 0.8120 0.8120 0.8120  1 H 1.71
9 Ge 0.3010 0.3010 0.3010  10 V 2.43-2.63
10 Ge 0.5000 0.5000 0.5000  12 V 2.66-2.96
11 Ge 0.6990 0.6990 0.6990  10 V 2.43-2.63
12 H 0.1086 0.1086 0.1086  4 V 1.71-1.75
13 H 0.8914 0.8914 0.8914  4 V 1.71-1.75

---

# 5
V7Ge2H2 | GGA-PBE | optimized geometry

Calculated values
- Size of the total moment: 0.0 μB/cell
- Total DFT energy (no corrections): -0.2687 hartree per atom

Lattice parameters (Å, degrees): 5.9401 5.9401 4.2141 109.40 109.40 86.82
Last column: nearest neighbours and their distance in Å.
Element x y z (fractional)
1 V 0.0000 0.0000 0.0000  2 H 2.01
2 V 0.1497 0.4960 0.8234  1 H 1.85
3 V 0.3374 0.3374 0.3462  1 H 1.77
4 V 0.4960 0.1497 0.8234  1 H 1.85
5 V 0.5040 0.8503 0.1766  1 H 1.85
6 V 0.6626 0.6626 0.6538  1 H 1.77
7 V 0.8503 0.5040 0.1766  1 H 1.85
8 Ge 0.2212 0.7788 0.5000  2 H 2.51, 10 V 2.51-2.78
9 Ge 0.7788 0.2212 0.5000  2 H 2.51, 10 V 2.51-2.78
10 H 0.1999 0.1999 0.8804  3 V 1.77-1.85
11 H 0.8001 0.8001 0.1196  3 V 1.77-1.85

---

# 6
V7Ge4H | GGA-PBE | optimized geometry

Calculated values
- Size of the total moment: 0.0 μB/cell
- Total DFT energy (no corrections): -0.2652 hartree per atom

Lattice parameters (Å, degrees): 6.8358 6.8358 10.3088 127.80 127.80 26.95
Last column: nearest neighbours and their distance in Å.
Element x y z (fractional)
1 V 0.0000 0.0000 0.0000  2 H 1.59
2 V 0.1205 0.1205 0.4946  4 V 2.54-2.79, 4 Ge 2.56-2.68
3 V 0.3105 0.3105 0.9002  1 H 2.03
4 V 0.3994 0.3994 0.3305  3 Ge 2.49-2.61, 7 V 2.54-2.79
5 V 0.6006 0.6006 0.6695  3 Ge 2.49-2.61, 7 V 2.54-2.79
6 V 0.6895 0.6895 0.0998  1 H 2.03
7 V 0.8795 0.8795 0.5054  4 V 2.54-2.79, 4 Ge 2.56-2.68
8 Ge 0.0773 0.0773 0.8349  7 V 2.48-2.73
9 Ge 0.1913 0.1913 0.3050  7 V 2.51-2.65
10 Ge 0.8087 0.8087 0.6950  7 V 2.51-2.65
11 Ge 0.9227 0.9227 0.1651  7 V 2.48-2.73
12 H 0.5000 0.5000 0.0000  2 V 1.59

---

# 7
VGe2H | GGA-PBE | optimized geometry

Calculated values
- Size of the total moment: 3.2 μB/cell
- Total DFT energy (no corrections): -0.1748 hartree per atom
- Energy relative to the lowest polymorph listed for this composition: 505 meV/atom

Lattice parameters (Å, degrees): 4.3271 4.3271 4.3271 60.00 60.00 60.00
Last column: nearest neighbours and their distance in Å.
Element x y z (fractional)
1 V 0.0000 0.0000 0.0000  8 Ge 2.65
2 Ge 0.2500 0.2500 0.2500  4 H 2.65, 4 V 2.65
3 Ge 0.7500 0.7500 0.7500  4 H 2.65, 4 V 2.65
4 H 0.5000 0.5000 0.5000  8 Ge 2.65

---

# 8
V5GeH | GGA-PBE | optimized geometry

Calculated values
- Size of the total moment: 0.0 μB/cell
- Total DFT energy (no corrections): -0.2840 hartree per atom

Lattice parameters (Å, degrees): 5.0207 5.0207 8.5506 114.08 114.08 62.02
Last column: nearest neighbours and their distance in Å.
Element x y z (fractional)
1 V 0.0135 0.9865 0.7500  2 H 2.14
2 V 0.0214 0.6282 0.4141  1 H 1.67
3 V 0.1379 0.5210 0.9171  1 H 2.05
4 V 0.3718 0.9786 0.0859  1 H 1.67
5 V 0.4790 0.8621 0.5829  1 H 2.05
6 V 0.5210 0.1379 0.4171  1 H 2.05
7 V 0.6282 0.0214 0.9141  1 H 1.67
8 V 0.8621 0.4790 0.0829  1 H 2.05
9 V 0.9786 0.3718 0.5859  1 H 1.67
10 V 0.9865 0.0135 0.2500  2 H 2.14
11 Ge 0.4837 0.5163 0.2500  8 V 2.57-2.71
12 Ge 0.5163 0.4837 0.7500  8 V 2.57-2.71
13 H 0.0000 0.0000 0.0000  2 V 1.67
14 H 0.0000 0.0000 0.5000  2 V 1.67

---

> Among the records above, which one has the highest size of the total moment?

VGe2H

---

> Among the records above, which one has the lowest total DFT energy (no corrections)?

V5GeH

---

> total DFT energy (no corrections) of number 1 (V3GeH2)?

-0.2418 hartree per atom